No. 1
Here is SiAg2Rh after structural relaxation from Alexandria via LeMat-Bulk. Energies are from GGA-PBE.

Lattice parameters (Å, degrees): 5.617 5.617 2.879 104.47 104.47 124.10
Element x y z (fractional)
1 Si 0.000 0.000 0.000
2 Ag 0.000 0.500 0.500
3 Ag 0.500 0.000 0.500
4 Rh 0.500 0.500 0.000

energy	-4.568	eV/atom
energy relative to the elements, uncorrected	20	kJ/mol of formula units
volume	15.907	Å³/atom
symmetry	C2/m (12)

No. 2
Here is NaTmCd2 after structural relaxation from Alexandria via LeMat-Bulk. Energies are from GGA-PBE.

Lattice parameters (Å, degrees): 5.189 5.189 5.189 60.00 60.00 60.00
Element x y z (fractional)
1 Na 0.000 0.000 0.000
2 Tm 0.500 0.500 0.500
3 Cd 0.250 0.250 0.250
4 Cd 0.750 0.750 0.750

energy	-2.018	eV/atom
DFT formation energy	-113	meV per atom
distance to the lowest polymorph of the same formula	0.0604	eV per atom
volume	24.703	Å³/atom
symmetry	Fm-3m (225)

No. 3
Here is BaNdBi2 after structural relaxation from Alexandria via LeMat-Bulk. Energies are from GGA-PBE.

Lattice parameters (Å, degrees): 9.001 9.001 9.001 30.00 30.00 30.00
Element x y z (fractional)
1 Ba 0.000 0.000 0.000
2 Nd 0.172 0.172 0.172
3 Bi 0.576 0.576 0.576
4 Bi 0.763 0.763 0.763

energy	-4.385	eV/atom
DFT formation energy	-772	meV per atom
distance to the lowest polymorph of the same formula	0.0406	eV per atom
volume	40.378	Å³/atom
symmetry	R3m (160)

No. 4
Here is SrMn2HSe after structural relaxation from Alexandria via LeMat-Bulk. Energies are from GGA-PBE.

Lattice parameters (Å, degrees): 4.522 4.522 6.327 90.00 90.00 90.00
Element x y z (fractional)
1 Sr 0.000 0.000 0.000
2 Mn 0.000 0.500 0.500
3 Mn 0.500 0.000 0.500
4 H 0.500 0.500 0.000
5 Se 0.500 0.500 0.500

energy	-4.936	eV/atom
volume	25.874	Å³/atom
symmetry	P4/mmm (123)

No. 5
Here is Zr2AlFe2 after structural relaxation from Alexandria via LeMat-Bulk. Energies are from GGA-PBE.

Lattice parameters (Å, degrees): 6.437 6.437 3.946 90.00 90.00 90.00
Element x y z (fractional)
1 Zr 0.187 0.313 0.000
2 Zr 0.313 0.813 0.000
3 Zr 0.687 0.187 0.000
4 Zr 0.813 0.687 0.000
5 Al 0.000 0.000 0.500
6 Al 0.500 0.500 0.500
7 Fe 0.117 0.617 0.500
8 Fe 0.383 0.117 0.500
9 Fe 0.617 0.883 0.500
10 Fe 0.883 0.383 0.500

energy	-7.798	eV/atom
DFT formation energy	-246	meV per atom
volume	16.351	Å³/atom
symmetry	P4/mbm (127)

No. 6
Here is YPt2Pb after structural relaxation from Alexandria via LeMat-Bulk. Energies are from GGA-PBE.

Lattice parameters (Å, degrees): 3.888 3.888 5.877 90.00 90.00 90.00
Element x y z (fractional)
1 Y 0.000 0.000 0.000
2 Pt 0.000 0.000 0.504
3 Pt 0.500 0.500 0.839
4 Pb 0.500 0.500 0.362

energy	-6.157	eV/atom
DFT formation energy	-593	meV per atom
volume	22.215	Å³/atom
symmetry	P4mm (99)

Question: Among the records above, which one has the lowest energy?
Answer: Zr2AlFe2